Compound: Er2BeCo
Source: Alexandria
Functional: PBE-GGA
Structure: relaxed

a b c (Å): 3.8380 5.6430 5.6430
angles (deg): 39.79 90.00 90.00
With the nearest neighbours (Å) after each atom.
Sites, in units of the cell vectors:
Er  0.0000  0.0000  0.0000  2 Co 2.79, 4 Be 2.86
Er  0.5000  0.2775  0.2775  2 Be 2.81, 4 Co 2.87
Be  0.5000  0.5845  0.5845  2 Co 2.23
Co  0.0000  0.6908  0.6908  2 Be 2.23

SG: Amm2, No. 38
Spin magnetization: 0.000 μB/cell
Calculated total energy: -5.160 eV/atom


Compound: Er2Be15Co2
Source: Alexandria
Functional: PBE-GGA
Structure: relaxed

a b c (Å): 5.8332 5.8332 5.8332
angles (deg): 83.55 83.55 83.55
With the nearest neighbours (Å) after each atom.
Sites, in units of the cell vectors:
Er  0.1588  0.1588  0.1588  1 Co 2.68, 18 Be 2.84-2.97
Er  0.8412  0.8412  0.8412  1 Co 2.68, 18 Be 2.84-2.97
Be  0.0000  0.5000  0.5000  8 Be 2.18-2.21, 2 Co 2.36
Be  0.1640  0.1640  0.6490  6 Be 2.21-2.32, 1 Co 2.32
Be  0.1640  0.6490  0.1640  6 Be 2.21-2.32, 1 Co 2.32
Be  0.2247  0.5000  0.7753  6 Be 2.14-2.25
Be  0.2247  0.7753  0.5000  6 Be 2.14-2.25
Be  0.3510  0.8360  0.8360  6 Be 2.21-2.32, 1 Co 2.32
Be  0.5000  0.0000  0.5000  8 Be 2.18-2.21, 2 Co 2.36
Be  0.5000  0.2247  0.7753  6 Be 2.14-2.25
Be  0.5000  0.5000  0.0000  8 Be 2.18-2.21, 2 Co 2.36
Be  0.5000  0.7753  0.2247  6 Be 2.14-2.25
Be  0.6490  0.1640  0.1640  6 Be 2.21-2.32, 1 Co 2.32
Be  0.7753  0.2247  0.5000  6 Be 2.14-2.25
Be  0.7753  0.5000  0.2247  6 Be 2.14-2.25
Be  0.8360  0.3510  0.8360  6 Be 2.21-2.32, 1 Co 2.32
Be  0.8360  0.8360  0.3510  6 Be 2.21-2.32, 1 Co 2.32
Co  0.3985  0.3985  0.3985  1 Co 2.27, 12 Be 2.32-2.42
Co  0.6015  0.6015  0.6015  1 Co 2.27, 12 Be 2.32-2.42

SG: R-3m, No. 166
Spin magnetization: 0.000 μB/cell
Calculated total energy: -4.363 eV/atom


Compound: ErBe3Co
Source: Alexandria
Functional: PBE-GGA
Structure: relaxed

a b c (Å): 4.0495 4.0495 4.0495
angles (deg): 90.00 90.00 90.00
With the nearest neighbours (Å) after each atom.
Sites, in units of the cell vectors:
Er  0.0000  0.0000  0.0000  12 Be 2.86
Be  0.0000  0.5000  0.5000  2 Co 2.02
Be  0.5000  0.0000  0.5000  2 Co 2.02
Be  0.5000  0.5000  0.0000  2 Co 2.02
Co  0.5000  0.5000  0.5000  6 Be 2.02

SG: Pm-3m, No. 221
Spin magnetization: 0.000 μB/cell
Calculated total energy: -4.660 eV/atom


Look up the calculated total energy of the third one.
-4.660 eV/atom


The lowest calculated total energy belongs to which entry?
Er2BeCo